Computed, not measured: HgTeMoF2 after structural relaxation at the PBE with a Hubbard U level of DFT.

a = 4.2795 Å, b = 4.2795 Å, c = 5.9995 Å
α = 90.00°, β = 90.00°, γ = 90.00°
Space group P4/mmm (No. 123)
Inequivalent atoms, fractional coordinates:
Hg 0.0000 0.0000 0.0000 x1
Te 0.5000 0.5000 0.0000 x1
Mo 0.5000 0.5000 0.5000 x1
F 0.0000 0.5000 0.5000 x2

Properties
Total magnetic moment: 3.30 μB per formula unit
Crystal system: tetragonal
DFT total energy: -4.144 eV/atom